# Th3CoOs

A relaxed Th3CoOs crystal (PBE, Alexandria).

Computed properties:
Energy above the lowest structure with this stoichiometry, eV per formula unit: 0.00
Energy, eV per atom: -8.403
Calculated formation energy, meV per atom: -284
Crystal system: triclinic
Symmetry: P-1

Lattice parameters (Å, degrees): 3.934 7.684 8.330 86.09 89.97 104.89
Fractional coordinates of all 10 atoms:
Th1 0.415 0.863 0.665
Th2 0.066 0.166 0.401
Th3 0.629 0.291 0.756
Co1 0.230 0.492 0.629
Co2 0.814 0.662 0.792
Os1 0.417 0.866 0.257
Os2 0.627 0.288 0.164
Th4 0.790 0.613 0.395
Th5 0.978 0.988 0.021
Th6 0.254 0.541 0.026